Material: AcPm5Ga2
Method: DFT, PBE-GGA
State: relaxed

Calculated values
- formation enthalpy at 0 K (eV per atom) = -0.1895

The structure in extended XYZ format:
```
8
Lattice="-1.162 -1.654 4.142 -7.134 -3.135 -0.689 1.251 -7.721 -0.169" Properties=species:S:1:pos:R:3 pbc="T T T"
Ac 0.000 0.000 0.000
Pm -2.942 -5.428 -0.429
Pm -4.453 -3.938 2.307
Pm -2.592 -8.572 0.978
Pm -5.902 -6.762 0.772
Pm -1.143 -5.749 2.512
Ga -5.382 -9.574 2.360
Ga -1.663 -2.937 0.925
```